[1]
Entry from Alexandria: a relaxed structure of AgCN2F (PBE-GGA).

**SG**: No. 123

Structure (POSCAR):
```
AgCN2F
1.0
-1.4550 -2.3940 1.3023
-0.8036 -1.0338 -2.7982
5.3649 -3.4128 -0.2798
N Ag F C
2 1 1 1
Direct
0.5000 0.0000 0.0000
0.0000 0.5000 0.0000
0.5000 0.5000 0.5000
0.0000 0.0000 0.5000
0.0000 0.0000 0.0000
```

***

[2]
Entry from Alexandria: a relaxed structure of Tb2Sm2Hg (PBE-GGA).

**SG**: No. 139

Structure (POSCAR):
```
Tb2Sm2Hg
1.0
-1.4532 -3.0229 -1.3791
2.8231 -1.9171 1.2272
-6.2711 0.6149 10.0285
Sm Tb Hg
2 2 1
Direct
0.8054 0.8054 0.6107
0.1946 0.1946 0.3893
0.4143 0.4143 0.8286
0.5857 0.5857 0.1714
0.0000 0.0000 0.0000
```

***

[3]
Entry from Alexandria: a relaxed structure of BeP2Pb (PBE-GGA).

**SG**: No. 225

Structure (POSCAR):
```
BeP2Pb
1.0
2.3853 1.8875 3.5947
-1.6702 3.8219 2.1858
-1.6863 -0.3428 4.3832
P Pb Be
2 1 1
Direct
0.7500 0.7500 0.7500
0.2500 0.2500 0.2500
0.5000 0.5000 0.5000
0.0000 0.0000 0.0000
```

***

[4]
Entry from Alexandria: a relaxed structure of Na2SnTeSe5 (PBE-GGA).

**SG**: No. 36

Structure (POSCAR):
```
Na2SnTeSe5
1.0
-3.7839 0.2547 -1.4740
3.2644 -8.1364 -4.1704
-4.5592 -7.1913 10.4614
Na Te Se Sn
4 2 10 2
Direct
0.0916 0.1833 0.6496
0.1081 0.2162 0.3297
0.9084 0.8167 0.1496
0.8919 0.7838 0.8297
0.2401 0.4802 0.0442
0.7599 0.5198 0.5442
0.7483 0.4966 0.1838
0.0566 0.1133 0.0446
0.6319 0.2637 0.4926
0.7106 0.4213 0.8869
0.9434 0.8867 0.5446
0.2894 0.5787 0.3869
0.3681 0.7363 0.9926
0.4955 0.9909 0.2694
0.5045 0.0091 0.7694
0.2517 0.5034 0.6838
0.5777 0.1554 0.9232
0.4223 0.8446 0.4232
```

***

[5]
Entry from Alexandria: a relaxed structure of Cs3Sc2CrSe6 (PBE-GGA).

**SG**: No. 12

Structure (POSCAR):
```
Cs3Sc2CrSe6
1.0
-1.7872 0.7689 -6.6855
-0.1166 -6.3123 2.9363
-7.1951 3.0318 3.4806
Se Cs Cr Sc
6 3 1 2
Direct
0.6227 0.9426 0.8281
0.2621 0.2621 0.8263
0.0574 0.3773 0.1719
0.3773 0.0574 0.1719
0.9426 0.6227 0.8281
0.7379 0.7379 0.1737
0.5000 0.5000 0.5000
0.8299 0.1701 0.5000
0.1701 0.8299 0.5000
0.0000 0.0000 0.0000
0.3336 0.6664 0.0000
0.6664 0.3336 0.0000
```

***

[6]
Entry from Alexandria: a relaxed structure of ScCd2Cl (PBE-GGA).

**SG**: No. 47

Structure (POSCAR):
```
ScCd2Cl
1.0
-2.6712 -0.1026 -1.6336
2.4789 -0.2517 -4.0376
0.0012 -6.0042 0.3750
Cd Cl Sc
2 1 1
Direct
0.5000 0.5000 0.0000
0.0000 0.0000 0.0000
0.5000 0.0000 0.5000
0.0000 0.5000 0.5000
```

***

[7]
Entry from Alexandria: a relaxed structure of ZrTlTc2Te (PBE-GGA).

**SG**: No. 123

Structure (POSCAR):
```
ZrTlTc2Te
1.0
-1.8650 -4.4191 0.4754
4.5727 -2.1621 -2.1601
1.9224 -0.3372 4.4072
Tl Zr Te Tc
1 1 1 2
Direct
0.0000 0.5000 0.0000
0.5000 0.5000 0.5000
0.0000 0.0000 0.0000
0.0000 0.0000 0.5000
0.5000 0.0000 0.0000
```

***

[8]
Entry from Alexandria: a relaxed structure of NiAu2Br8 (PBE-GGA).

**SG**: No. 12

Structure (POSCAR):
```
NiAu2Br8
1.0
7.2632 0.6096 0.4626
1.0180 7.1917 -0.0989
1.0180 1.8412 6.9527
Au Ni Br
2 1 8
Direct
0.7644 0.7642 0.7642
0.2356 0.2358 0.2358
0.0000 0.0000 0.0000
0.1800 0.8919 0.2654
0.2464 0.8102 0.8102
0.8200 0.7346 0.1081
0.8200 0.1081 0.7346
0.7536 0.1898 0.1898
0.1800 0.2654 0.8919
0.2928 0.4312 0.4312
0.7072 0.5688 0.5688
```

***

E across the listed records, respectively: -23.62; -19.91; -14.99; -63.83; -61.11; -11.72; -27.50; -25.85 eV for the cell shown.